The following is a DFT calculation (PBE) of a geometry-optimized KMgCd2Hg5 structure.

Its calculated total energy is -0.726 eV/atom. For the total magnetization, the calculation gives 0.000 μB/cell. The formation energy comes out at -55.8 meV/atom.

The space group is Immm (No. 71) and the conventional cell measures 5.464, 6.646 and 15.310 Å, with angles of 90.00, 90.00 and 90.00 degrees. Symmetry generates all atoms from K at (0.000, 0.000, 0.000), Mg at (0.000, 0.000, 0.500), Cd at (0.000, 0.500, 0.186), Hg at (0.000, 0.261, 0.348) and Hg at (0.000, 0.500, 0.000).